1.
The following is a PBE calculation of a geometry-optimized Ca3Pa3CoN8 structure, from Alexandria via LeMat-Bulk.

abc: 6.8991 6.8991 6.8991
angles: 59.51 59.51 59.51
With the nearest neighbours (Å) after each atom.
Atoms (fractional coordinates):
Ca  0.0000  0.5000  0.5000  6 N 2.51-2.60
Ca  0.5000  0.0000  0.5000  6 N 2.51-2.60
Ca  0.5000  0.5000  0.0000  6 N 2.51-2.60
Pa  0.0000  0.0000  0.5000  6 N 2.29-2.36
Pa  0.0000  0.5000  0.0000  6 N 2.29-2.36
Pa  0.5000  0.0000  0.0000  6 N 2.29-2.36
Co  0.5000  0.5000  0.5000  6 N 2.21
N  0.2425  0.2425  0.2425  3 Pa 2.36, 3 Ca 2.51
N  0.2429  0.7265  0.7265  1 Co 2.21, 2 Pa 2.29
N  0.2735  0.2735  0.7571  1 Co 2.21, 2 Pa 2.29
N  0.2735  0.7571  0.2735  1 Co 2.21, 2 Pa 2.29
N  0.7265  0.2429  0.7265  1 Co 2.21, 2 Pa 2.29
N  0.7265  0.7265  0.2429  1 Co 2.21, 2 Pa 2.29
N  0.7571  0.2735  0.2735  1 Co 2.21, 2 Pa 2.29
N  0.7575  0.7575  0.7575  3 Pa 2.36, 3 Ca 2.51

Summary:
As for the formation energy without anion corrections: -1.07 eV/atom. Its total magnetic moment is 0.00 μB/cell.

2.
The following is a PBE calculation of a geometry-optimized CaPa2Co2N6 structure, from Alexandria via LeMat-Bulk.

abc: 6.7855 6.7855 6.7855
angles: 46.21 46.21 46.21
With the nearest neighbours (Å) after each atom.
Atoms (fractional coordinates):
Ca  0.0000  0.0000  0.0000  6 N 2.43
Pa  0.2035  0.2035  0.2035  3 N 2.30
Pa  0.7965  0.7965  0.7965  3 N 2.30
Co  0.4032  0.4032  0.4032  3 N 1.73
Co  0.5968  0.5968  0.5968  3 N 1.73
N  0.2142  0.7335  0.7335  1 Co 1.73
N  0.2665  0.2665  0.7858  1 Co 1.73
N  0.2665  0.7858  0.2665  1 Co 1.73
N  0.7335  0.2142  0.7335  1 Co 1.73
N  0.7335  0.7335  0.2142  1 Co 1.73
N  0.7858  0.2665  0.2665  1 Co 1.73

Summary:
As for the formation energy without anion corrections: -0.41 eV/atom. Its total magnetic moment is 0.01 μB/cell.

3.
The following is a PBE calculation of a geometry-optimized CaPaCoN3 structure, from Alexandria via LeMat-Bulk.

abc: 6.9912 3.5132 7.4963
angles: 90.00 96.64 90.00
With the nearest neighbours (Å) after each atom.
Atoms (fractional coordinates):
Ca  0.1533  0.2500  0.1817  5 N 2.42-2.70
Ca  0.8467  0.7500  0.8183  5 N 2.42-2.70
Pa  0.3494  0.7500  0.8256  6 N 2.31-2.36
Pa  0.6506  0.2500  0.1744  6 N 2.31-2.36
Co  0.0664  0.2500  0.5975  4 N 1.85-1.96
Co  0.9336  0.7500  0.4025  4 N 1.85-1.96
N  0.1411  0.2500  0.8576  1 Co 1.96
N  0.1644  0.7500  0.5496  3 Co 1.85-1.93
N  0.4246  0.7500  0.1336  3 Pa 2.31-2.36
N  0.5754  0.2500  0.8664  3 Pa 2.31-2.36
N  0.8356  0.2500  0.4504  3 Co 1.85-1.93
N  0.8589  0.7500  0.1424  1 Co 1.96

Summary:
As for the formation energy without anion corrections: -0.97 eV/atom. Its total magnetic moment is 1.80 μB/cell.